[1]
DFT (GGA-PBE) results for a geometry-optimized Nd2AsO structure.

The structure in POSCAR format:
```
Nd2AsO
1.0
3.839 0.000 0.000
1.920 3.325 0.000
1.920 1.108 6.917
Nd As O
2 1 1
Cartesian
1.920 1.108 5.042 Nd
1.920 1.108 1.804 Nd
5.759 3.325 6.890 As
3.839 2.217 3.556 O
```

## Properties
As for the space-group type: R3m. The crystal system is trigonal. The calculation puts the final energy at -26.25 eV for the cell shown. The value obtained for the relative energy among the computed polymorphs is 208 meV per atom. As for the formation energy from raw total energies: -1.777 eV per atom.



[2]
DFT (GGA-PBE) results for a geometry-optimized KTlIr2 structure.

The structure in POSCAR format:
```
KTlIr2
1.0
-2.285 4.176 0.779
-4.188 -2.365 0.362
3.728 -1.262 2.788
Ir K Tl
2 1 1
Cartesian
0.000 0.000 0.000 Ir
-1.848 -1.361 1.860 Ir
-3.237 0.905 0.570 K
-0.897 1.909 2.068 Tl
```

## Properties
As for the space-group type: I-4m2. The crystal system is tetragonal. The calculation puts the final energy at -17.22 eV for the cell shown. Its formation enthalpy at 0 K is 4.0 eV per formula unit. The value obtained for the relative energy among the computed polymorphs is 680 meV per atom.



[3]
DFT (GGA-PBE) results for a geometry-optimized Pr4GeN structure.

The structure in POSCAR format:
```
Pr4GeN
1.0
7.180 -0.387 0.000
-1.391 6.371 0.000
-2.895 -2.992 7.282
Pr Ge N
8 2 2
Cartesian
6.108 1.129 0.703 Pr
3.271 4.661 0.703 Pr
-0.536 1.693 4.328 Pr
3.430 1.299 2.954 Pr
-1.231 4.878 2.954 Pr
-0.377 -1.670 6.578 Pr
4.126 -1.886 4.328 Pr
-3.213 1.863 6.578 Pr
1.100 3.089 1.958 Ge
1.795 -0.097 5.324 Ge
-2.490 3.282 4.568 N
5.385 -0.290 2.714 N
```

## Properties
As for the space-group type: C2/c. The crystal system is monoclinic. The calculation puts the final energy at -71.96 eV for the cell shown. As for the formation energy from raw total energies: -0.653 eV per atom.



[4]
DFT (GGA-PBE) results for a geometry-optimized InSbO3 structure.

The structure in POSCAR format:
```
InSbO3
1.0
4.117 0.000 0.000
0.000 4.117 0.000
0.000 0.000 4.117
Sb O In
1 3 1
Cartesian
2.059 2.059 2.059 Sb
0.000 2.059 0.000 O
0.000 0.000 2.059 O
2.059 0.000 0.000 O
0.000 0.000 0.000 In
```

## Properties
As for the space-group type: Pm-3m. The crystal system is cubic. The calculation puts the final energy at -25.19 eV for the cell shown. As for the formation energy from raw total energies: -0.691 eV per atom.



[5]
DFT (GGA-PBE) results for a geometry-optimized Th5Sb2Os structure.

The structure in POSCAR format:
```
Th5Sb2Os
1.0
6.070 0.000 0.000
-3.035 5.987 0.000
0.000 0.000 14.432
Th Sb Os
10 4 2
Cartesian
3.035 5.294 12.696 Th
3.035 5.294 8.952 Th
0.000 4.566 5.652 Th
0.000 4.566 1.564 Th
3.035 2.048 3.608 Th
0.000 3.939 10.824 Th
3.035 1.421 8.780 Th
3.035 1.421 12.867 Th
0.000 0.693 1.736 Th
0.000 0.693 5.480 Th
3.035 3.567 6.313 Sb
3.035 3.567 0.902 Sb
0.000 2.420 8.118 Sb
0.000 2.420 13.529 Sb
3.035 3.335 10.824 Os
0.000 2.652 3.608 Os
```

## Properties
As for the space-group type: Cmcm. The crystal system is orthorhombic. The calculation puts the final energy at -116.88 eV for the cell shown. As for the formation energy from raw total energies: -0.233 eV per atom.



[6]
DFT (GGA-PBE) results for a geometry-optimized SrBePt3 structure.

The structure in POSCAR format:
```
SrBePt3
1.0
6.646 -0.003 0.025
-2.323 5.050 -0.002
-0.840 -0.389 5.712
Be Pt Sr
2 6 2
Cartesian
-0.584 0.444 3.041 Be
3.606 2.370 4.281 Be
3.948 0.986 2.509 Pt
2.778 3.533 2.509 Pt
1.931 1.602 0.806 Pt
-0.927 1.830 4.814 Pt
1.511 1.408 3.662 Pt
-2.080 4.333 4.812 Pt
1.325 4.381 5.320 Sr
-0.626 3.485 2.001 Sr
```

## Properties
As for the space-group type: C2/m. The crystal system is monoclinic. The calculation puts the final energy at -53.75 eV for the cell shown. Its formation enthalpy at 0 K is -3.3 eV per formula unit. The value obtained for the relative energy among the computed polymorphs is 76 meV per atom.



- What is the final energy in the fourth record?
  -25.19 eV for the cell shown



- Which of these has the lowest final energy?
  Th5Sb2Os



- Which value of final energy does entry 6 give?
  -53.75 eV for the cell shown



What did the fifth record say?
DFT (GGA-PBE) results for a geometry-optimized Th5Sb2Os structure.

The structure in POSCAR format:
```
Th5Sb2Os
1.0
6.070 0.000 0.000
-3.035 5.987 0.000
0.000 0.000 14.432
Th Sb Os
10 4 2
Cartesian
3.035 5.294 12.696 Th
3.035 5.294 8.952 Th
0.000 4.566 5.652 Th
0.000 4.566 1.564 Th
3.035 2.048 3.608 Th
0.000 3.939 10.824 Th
3.035 1.421 8.780 Th
3.035 1.421 12.867 Th
0.000 0.693 1.736 Th
0.000 0.693 5.480 Th
3.035 3.567 6.313 Sb
3.035 3.567 0.902 Sb
0.000 2.420 8.118 Sb
0.000 2.420 13.529 Sb
3.035 3.335 10.824 Os
0.000 2.652 3.608 Os
```

## Properties
As for the space-group type: Cmcm. The crystal system is orthorhombic. The calculation puts the final energy at -116.88 eV for the cell shown. As for the formation energy from raw total energies: -0.233 eV per atom.